Ac2Cu2HgO6: relaxed, PBE-GGA.

Geometry as POSCAR:
```
Ac2Cu2HgO6
1.0
2.9483 1.7022 5.9245
-2.9483 1.7022 5.9245
0.0000 -3.4044 5.9245
Ac Cu Hg O
2 2 1 6
direct
0.2102 0.2102 0.2102
0.7898 0.7898 0.7898
0.4260 0.4260 0.4260
0.5740 0.5740 0.5740
0.0000 0.0000 0.0000
0.2047 0.7470 0.7470
0.2530 0.2530 0.7953
0.2530 0.7953 0.2530
0.7470 0.2047 0.7470
0.7470 0.7470 0.2047
0.7953 0.2530 0.2530
```

Properties
crystal system = trigonal
energy relative to the elements, uncorrected = -1581 kJ/mol of formula units
calculated volume = 178.4 Å³/cell
space-group type = R-3m (166)